1.
A relaxed CsTlGeAs2 crystal, computed with PBE.

a = 6.4053 Å, b = 14.7107 Å, c = 8.0181 Å
α = 90.00°, β = 90.00°, γ = 90.00°
Last column: nearest neighbours and their distance in Å.
Space group Cmme (No. 67)
Asymmetric unit:
Cs 0.0000 0.2500 0.2087 (multiplicity 4)  6 As 3.74-3.95
Tl 0.0000 0.0000 0.5000 (multiplicity 4)  2 As 3.06, 2 Tl 3.20
Ge 0.2500 0.0000 0.0000 (multiplicity 4)  4 As 2.49
As 0.0000 0.0951 0.8393 (multiplicity 8)  2 Ge 2.49

Values from the calculation:
The density of states at the Fermi level is 3.08 states/eV/f.u. The value obtained for the size of the total moment is 0.000 μB/atom. The formation energy from the elements comes out at -118 meV per atom.

=====

2.
A relaxed RbNa2Hg2 crystal, computed with PBE.

a = 9.4808 Å, b = 9.4808 Å, c = 3.6161 Å
α = 90.00°, β = 90.00°, γ = 90.00°
Last column: nearest neighbours and their distance in Å.
Space group P4/mbm (No. 127)
Asymmetric unit:
Rb 0.0000 0.0000 0.0000 (multiplicity 2)  2 Rb 3.62, 4 Na 3.75, 8 Hg 3.96
Na 0.1241 0.3759 0.0000 (multiplicity 4)  6 Hg 3.32-3.34, 3 Na 3.33-3.62
Hg 0.1686 0.6686 0.5000 (multiplicity 4)  6 Na 3.32-3.34, 2 Hg 3.62

Values from the calculation:
The density of states at the Fermi level is 2.38 states/eV/f.u. The value obtained for the size of the total moment is 0.000 μB/atom. Its energy above the most stable polymorph in this dataset is 0.018 eV per atom. The formation energy from the elements comes out at -169 meV per atom.

=====

3.
A relaxed Hg2PtAu crystal, computed with PBE.

a = 4.0911 Å, b = 4.0911 Å, c = 19.9085 Å
α = 90.00°, β = 90.00°, γ = 90.00°
Last column: nearest neighbours and their distance in Å.
Space group I-42d (No. 122)
Asymmetric unit:
Hg 0.2442 0.2500 0.1250 (multiplicity 8)  4 Hg 2.86-2.93, 2 Pt 2.87, 2 Au 2.89
Pt 0.0000 0.0000 0.0000 (multiplicity 4)  4 Hg 2.87, 4 Au 2.89
Au 0.0000 0.0000 0.5000 (multiplicity 4)  4 Hg 2.89, 4 Pt 2.89

Values from the calculation:
The density of states at the Fermi level is 1.17 states/eV/f.u. The value obtained for the size of the total moment is 0.000 μB/atom. Its energy above the most stable polymorph in this dataset is 0.150 eV per atom. The formation energy from the elements comes out at 191 meV per atom.

=====

4.
A relaxed Ni3PdN crystal, computed with PBE.

a = 9.4120 Å, b = 5.3252 Å, c = 4.6723 Å
α = 90.00°, β = 109.87°, γ = 90.00°
Last column: nearest neighbours and their distance in Å.
Space group Cm (No. 8)
Asymmetric unit:
Ni 0.0000 0.0000 0.0000 (multiplicity 2)  2 N 1.83-1.92
Ni 0.2338 0.2429 0.0135 (multiplicity 4)  2 N 1.84-1.88
Ni 0.2364 0.0000 0.4949 (multiplicity 2)  1 N 1.83
Ni 0.4816 0.2565 0.4787 (multiplicity 4)  2 N 1.91-1.94
Pd 0.2311 0.5000 0.5209 (multiplicity 2)  1 N 2.25
Pd 0.4814 0.0000 0.9693 (multiplicity 2)  11 Ni 2.60-2.74, 1 Pd 2.84
N 0.1191 0.0000 0.7383 (multiplicity 2)  6 Ni 1.83-1.94
N 0.3629 0.5000 0.1984 (multiplicity 2)  5 Ni 1.83-1.91

Values from the calculation:
The density of states at the Fermi level is 4.95 states/eV/f.u. The value obtained for the size of the total moment is 0.000 μB/atom. Its uncorrected formation energy is 0.071 eV per atom.

=====

5.
A relaxed Pr16Ho7Tm6 crystal, computed with PBE.

a = 16.0419 Å, b = 16.0419 Å, c = 16.0419 Å
α = 90.00°, β = 90.00°, γ = 90.00°
Last column: nearest neighbours and their distance in Å.
Space group Fm-3m (No. 225)
Asymmetric unit:
Pr 0.1247 0.1247 0.1247 (multiplicity 32)  4 Ho 3.46-3.48, 3 Tm 3.58, 3 Pr 3.69
Pr 0.1480 0.1480 0.3520 (multiplicity 32)  3 Ho 3.32, 3 Tm 3.66, 3 Pr 3.69
Ho 0.0000 0.0000 0.0000 (multiplicity 4)  8 Pr 3.46
Ho 0.0000 0.2500 0.2500 (multiplicity 24)  8 Pr 3.32-3.48
Tm 0.0000 0.0000 0.2619 (multiplicity 24)  8 Pr 3.58-3.66

Values from the calculation:
The density of states at the Fermi level is 39.24 states/eV/f.u. The value obtained for the size of the total moment is 0.000 μB/atom. The formation energy from the elements comes out at 204 meV per atom.

=====

6.
A relaxed SiTeCl2 crystal, computed with PBE.

a = 4.1361 Å, b = 4.1361 Å, c = 7.6682 Å
α = 90.00°, β = 90.00°, γ = 90.00°
Last column: nearest neighbours and their distance in Å.
Space group P4mm (No. 99)
Asymmetric unit:
Si 0.0000 0.0000 0.0000 (multiplicity 1)  1 Cl 2.13
Te 0.5000 0.5000 0.9927 (multiplicity 1)  1 Cl 2.36
Cl 0.0000 0.0000 0.2781 (multiplicity 1)  1 Si 2.13
Cl 0.5000 0.5000 0.6844 (multiplicity 1)  1 Te 2.36

Values from the calculation:
The density of states at the Fermi level is 0.32 states/eV/f.u. The value obtained for the size of the total moment is 0.000 μB/atom. Its energy above the most stable polymorph in this dataset is 0.000 eV per atom. Its uncorrected formation energy is -0.322 eV per atom.